Material: AlFe3
Method: DFT, PBE
State: relaxed

The value obtained for the uncorrected energy is -7.46 eV per atom. Its density of states at the Fermi level is 0.719 states/eV/atom. The calculation puts the calculated volume at 96.4 Å³/cell. As for the space group: Immm (71). The value obtained for the formation energy is -0.18 eV/atom.

Unit cell a=3.0140 b=4.0267 c=7.9401 alpha=90.00 beta=90.00 gamma=90.00
Fractional coordinates of all 8 atoms:
Al 0.0000 0.0000 0.0000
Al 0.5000 0.5000 0.5000
Fe 0.0000 0.0000 0.5000
Fe 0.0000 0.5000 0.2421
Fe 0.0000 0.5000 0.7579
Fe 0.5000 0.0000 0.2579
Fe 0.5000 0.0000 0.7421
Fe 0.5000 0.5000 0.0000